8
Lattice="5.0941 0.0000 0.0000 -2.5090 7.1912 0.0000 -0.0671 -0.8551 8.7187" Properties=species:S:1:pos:R:3 comment="CsAlPb2 PBE relaxed" mass_density_g_cm3=5.97 delta_e_f_mev_per_atom=-67 pbc="T T T"
Pb 0.0245 2.4337 1.0260
Pb 2.4934 3.9024 7.6927
Pb 2.5545 0.7810 2.4800
Pb -0.0365 5.5551 6.2387
Cs -0.0020 1.4645 5.6012
Cs 2.5199 4.8717 3.1175
Al -1.2369 7.0726 0.0902
Al 3.7548 -0.7364 8.6286